No. 1
Crystalline Ti2SeS at its relaxed geometry. Source: Alexandria via LeMat-Bulk, functional PBE.

Calculated values
The density of states at the Fermi level comes out at 7.14 states/eV/f.u. Its symmetry is I-42d (122). The crystal system is tetragonal.

Cell lengths 5.6264, 5.6264, 6.9007 Å; angles 65.94, 65.94, 90.00 degrees
Site moments in Bohr magnetons follow the coordinates.
Atoms (fractional coordinates):
Ti: 0.1474 0.6250 0.2500  0.79
S: 0.5000 0.5000 0.0000  -0.04
Ti: 0.6026 0.1250 0.2500  0.82
S: 0.2500 0.7500 0.5000  -0.04
Se: 0.0000 0.0000 0.0000  -0.03
Ti: 0.8750 0.8526 0.7500  0.83
Se: 0.7500 0.2500 0.5000  -0.03
Ti: 0.3750 0.3974 0.7500  0.80

No. 2
Crystalline DyScAsSe at its relaxed geometry. Source: Alexandria via LeMat-Bulk, functional PBE.

Calculated values
The density of states at the Fermi level comes out at 2.81 states/eV/f.u. Its symmetry is R3m (160). The crystal system is trigonal.

Cell lengths 3.9208, 3.9210, 7.2117 Å; angles 90.00, 105.77, 120.00 degrees
Atoms (fractional coordinates):
Sc: 0.1217 0.9588 0.0959
Se: 0.9587 0.3774 0.3512
As: 0.3161 0.5560 0.8874
Dy: 0.4813 0.1386 0.6352

| no. | raw total energy (eV per atom) | formation energy without anion corrections (eV per atom) |
| --- | --- | --- |
| 1 | -6.632 | -0.782 |
| 2 | -6.327 | -1.560 |